# GGA-PBE LaMg2InN, optimized geometry
data_LaMg2InN
_chemical_formula_sum 'La1 Mg2 In1 N1'
_cell_length_a 4.587
_cell_length_b 4.587
_cell_length_c 5.015
_cell_angle_alpha 90.00
_cell_angle_beta 90.00
_cell_angle_gamma 90.00
_symmetry_space_group_name_H-M 'P 4/m m m'
_symmetry_Int_Tables_number 123
_symmetry_space_group_name_Hall '-P 4 2'
loop_
_atom_site_label
_atom_site_fract_x
_atom_site_fract_y
_atom_site_fract_z
La1 0.000 0.000 0.000
Mg1 0.000 0.500 0.500
In1 0.500 0.500 0.000
N1 0.000 0.000 0.500
# DFT total energy (eV per atom): -4.3252

# GGA-PBE NaLaMgIn, optimized geometry
data_NaLaMgIn
_chemical_formula_sum 'Na4 La4 Mg4 In4'
_cell_length_a 7.593
_cell_length_b 7.593
_cell_length_c 7.593
_cell_angle_alpha 90.00
_cell_angle_beta 90.00
_cell_angle_gamma 90.00
_symmetry_space_group_name_H-M 'F -4 3 m'
_symmetry_Int_Tables_number 216
_symmetry_space_group_name_Hall 'F -4 2 3'
loop_
_atom_site_label
_atom_site_fract_x
_atom_site_fract_y
_atom_site_fract_z
Na1 0.000 0.000 0.000
La1 0.250 0.250 0.750
Mg1 0.250 0.250 0.250
In1 0.000 0.000 0.500
# E_form (eV/f.u.): -0.760

# GGA-PBE LaNdMgIn, optimized geometry
data_LaNdMgIn
_chemical_formula_sum 'La4 Nd4 Mg4 In4'
_cell_length_a 7.827
_cell_length_b 7.827
_cell_length_c 7.827
_cell_angle_alpha 90.00
_cell_angle_beta 90.00
_cell_angle_gamma 90.00
_symmetry_space_group_name_H-M 'F -4 3 m'
_symmetry_Int_Tables_number 216
_symmetry_space_group_name_Hall 'F -4 2 3'
loop_
_atom_site_label
_atom_site_fract_x
_atom_site_fract_y
_atom_site_fract_z
La1 0.000 0.000 0.000
Nd1 0.000 0.000 0.500
Mg1 0.250 0.250 0.750
In1 0.250 0.250 0.250
# E_form (eV/f.u.): -1.336

# GGA-PBE LaMgInNi, optimized geometry
data_LaMgInNi
_chemical_formula_sum 'La4 Mg4 In4 Ni4'
_cell_length_a 6.994
_cell_length_b 6.994
_cell_length_c 6.994
_cell_angle_alpha 90.00
_cell_angle_beta 90.00
_cell_angle_gamma 90.00
_symmetry_space_group_name_H-M 'F -4 3 m'
_symmetry_Int_Tables_number 216
_symmetry_space_group_name_Hall 'F -4 2 3'
loop_
_atom_site_label
_atom_site_fract_x
_atom_site_fract_y
_atom_site_fract_z
La1 0.000 0.000 0.000
Mg1 0.250 0.250 0.750
In1 0.000 0.000 0.500
Ni1 0.250 0.250 0.250
# E_form (eV/f.u.): -0.972

# GGA-PBE LaMg2InNi, optimized geometry
data_LaMg2InNi
_chemical_formula_sum 'La1 Mg2 In1 Ni1'
_cell_length_a 5.034
_cell_length_b 5.034
_cell_length_c 5.065
_cell_angle_alpha 90.00
_cell_angle_beta 90.00
_cell_angle_gamma 90.00
_symmetry_space_group_name_H-M 'P 4/m m m'
_symmetry_Int_Tables_number 123
_symmetry_space_group_name_Hall '-P 4 2'
loop_
_atom_site_label
_atom_site_fract_x
_atom_site_fract_y
_atom_site_fract_z
La1 0.000 0.000 0.000
Mg1 0.000 0.500 0.500
In1 0.500 0.500 0.000
Ni1 0.000 0.000 0.500
# E_form (eV/f.u.): -1.002
# ΔE to the lowest computed polymorph (eV per atom): 0.036

# GGA-PBE LaMg2InNi, optimized geometry
data_LaMg2InNi
_chemical_formula_sum 'La1 Mg2 In1 Ni1'
_cell_length_a 4.889
_cell_length_b 4.889
_cell_length_c 4.951
_cell_angle_alpha 90.00
_cell_angle_beta 90.00
_cell_angle_gamma 90.00
_symmetry_space_group_name_H-M 'P 4/m m m'
_symmetry_Int_Tables_number 123
_symmetry_space_group_name_Hall '-P 4 2'
loop_
_atom_site_label
_atom_site_fract_x
_atom_site_fract_y
_atom_site_fract_z
La1 0.000 0.000 0.000
Mg1 0.000 0.500 0.500
In1 0.500 0.500 0.000
Ni1 0.500 0.500 0.500
# E_form (eV/f.u.): -1.183
# ΔE to the lowest computed polymorph (eV per atom): 0.000

# GGA-PBE LaMgIn2Ni, optimized geometry
data_LaMgIn2Ni
_chemical_formula_sum 'La1 Mg1 In2 Ni1'
_cell_length_a 4.975
_cell_length_b 4.975
_cell_length_c 4.878
_cell_angle_alpha 90.00
_cell_angle_beta 90.00
_cell_angle_gamma 90.00
_symmetry_space_group_name_H-M 'P 4/m m m'
_symmetry_Int_Tables_number 123
_symmetry_space_group_name_Hall '-P 4 2'
loop_
_atom_site_label
_atom_site_fract_x
_atom_site_fract_y
_atom_site_fract_z
La1 0.000 0.000 0.000
Mg1 0.500 0.500 0.000
In1 0.000 0.500 0.500
Ni1 0.500 0.500 0.500
# E_form (eV/f.u.): -1.425

# GGA-PBE LaMgIn4O8, optimized geometry
data_LaMgIn4O8
_chemical_formula_sum 'La3 Mg3 In12 O24'
_cell_length_a 6.6609
_cell_length_b 6.6609
_cell_length_c 16.0536
_cell_angle_alpha 90.00
_cell_angle_beta 90.00
_cell_angle_gamma 120.00
_symmetry_space_group_name_H-M 'R 3 m'
_symmetry_Int_Tables_number 160
_symmetry_space_group_name_Hall 'R 3 -2"'
loop_
_atom_site_label
_atom_site_fract_x
_atom_site_fract_y
_atom_site_fract_z
La1 0.0000 0.0000 0.0000
Mg1 0.0000 0.0000 0.6225
In1 0.0000 0.0000 0.2429
In2 0.0008 0.5004 0.1210
O1 0.0000 0.0000 0.3800
O2 0.0000 0.0000 0.8571
O3 0.0453 0.5226 0.3744
O4 0.1830 0.3660 0.2013
# DFT total energy (eV per atom): -6.0529